Entry 1:
DFT (PBE) results for crystalline YTeCl2 at its relaxed geometry.

a b c (Å): 5.6856 5.6856 5.6856
angles (deg): 132.88 132.88 68.84
Atoms (fractional coordinates):
Y 0.7500 0.2500 0.5000
Te 0.5000 0.5000 0.0000
Cl 0.0000 0.0000 0.0000
Cl 0.2500 0.7500 0.5000

Calculated values
- Electronic total energy: -4.3694 eV per atom


Entry 2:
DFT (PBE) results for crystalline SrMn2Mo at its relaxed geometry.

a b c (Å): 4.2610 4.2610 6.1791
angles (deg): 69.83 69.83 60.03
Each line ends with the local moment (μB).
Atoms (fractional coordinates):
Mn 0.4442 0.4442 0.6676  2.53
Mn 0.0558 0.0558 0.8324  2.53
Sr 0.2500 0.2500 0.2500  0.00
Mo 0.7500 0.7500 0.7500  -1.10

Calculated values
- Energy of formation from the pure elements: 0.486 eV per atom


Entry 3:
DFT (PBE) results for crystalline DyHo5Tm8 at its relaxed geometry.

a b c (Å): 8.3099 8.3099 8.3099
angles (deg): 110.93 106.60 110.93
Atoms (fractional coordinates):
Tm 0.7299 0.2536 0.3350
Dy 0.2500 0.5000 0.7500
Ho 0.8652 0.9009 0.1895
Ho 0.0357 0.3243 0.1348
Ho 0.5000 0.0000 0.5000
Tm 0.5237 0.6051 0.2701
Tm 0.5767 0.9181 0.8383
Ho 0.8105 0.6757 0.7114
Ho 0.2886 0.0991 0.9643
Tm 0.3413 0.2616 0.4233
Tm 0.0814 0.7464 0.4763
Tm 0.9203 0.0819 0.6587
Tm 0.1617 0.7384 0.0797
Tm 0.6650 0.3949 0.9186

Calculated values
- Energy of formation from the pure elements: 0.257 eV per atom


Entry 4:
DFT (PBE) results for crystalline NiSe3 at its relaxed geometry.

a b c (Å): 4.7268 4.7268 4.7268
angles (deg): 90.00 90.00 90.00
Atoms (fractional coordinates):
Se 0.0000 0.0000 0.5000
Se 0.0000 0.5000 0.0000
Ni 0.0000 0.0000 0.0000
Se 0.5000 0.0000 0.0000

Calculated values
- Electronic total energy: -3.5980 eV per atom


Entry 5:
DFT (PBE) results for crystalline Cs3H4Pt at its relaxed geometry.

a b c (Å): 6.8796 6.8796 6.8796
angles (deg): 75.92 129.86 127.04
Atoms (fractional coordinates):
H 0.0189 0.3443 0.3632
Cs 0.5189 0.2562 0.7751
Cs 0.5189 0.7438 0.2627
H 0.7458 0.2269 0.5189
Cs 0.0189 0.0000 0.0189
H 0.0189 0.6557 0.6746
Pt 0.0188 0.5000 0.5188
H 0.2920 0.7731 0.5189

Calculated values
- Electronic total energy: -2.9990 eV per atom


Entry 6:
DFT (PBE) results for crystalline TbGdTlBi at its relaxed geometry.

a b c (Å): 5.4712 5.4712 5.4712
angles (deg): 60.00 60.00 60.00
Each line ends with the local moment (μB).
Atoms (fractional coordinates):
Tl 0.0000 0.0000 0.0000  -0.02
Tb 0.2500 0.2500 0.2500  0.13
Bi 0.5000 0.5000 0.5000  -0.01
Gd 0.7500 0.7500 0.7500  7.11

Calculated values
- Energy of formation from the pure elements: -0.442 eV per atom


Entry 7:
DFT (PBE) results for crystalline PrNdCdCo at its relaxed geometry.

a b c (Å): 5.2322 5.2322 5.2322
angles (deg): 60.00 60.00 60.00
Each line ends with the local moment (μB).
Atoms (fractional coordinates):
Pr 0.5000 0.5000 0.5000  -0.14
Co 0.2500 0.2500 0.2500  1.25
Cd 0.7500 0.7500 0.7500  -0.01
Nd 0.0000 0.0000 0.0000  -0.14

Calculated values
- Energy of formation from the pure elements: -0.035 eV per atom


Entry 8:
DFT (PBE) results for crystalline CeSbIr at its relaxed geometry.

a b c (Å): 3.7865 4.5741 4.5741
angles (deg): 120.00 90.00 90.00
Each line ends with the local moment (μB).
Atoms (fractional coordinates):
Sb 0.1669 0.0000 0.0000  -0.01
Ce 0.6668 0.6667 0.3333  0.21
Ir 0.1663 0.3333 0.6667  -0.04

Calculated values
- Electronic total energy: -7.1013 eV per atom


Entry 9:
DFT (PBE) results for crystalline Er6P3Se2S at its relaxed geometry.

a b c (Å): 3.9635 7.9930 8.9250
angles (deg): 103.64 102.83 90.00
Atoms (fractional coordinates):
Er 0.3385 0.4036 0.6771
Se 0.1664 0.3338 0.3328
Se 0.8336 0.6662 0.6672
Er 0.6615 0.5964 0.3229
S 0.5000 0.0000 0.0000
P 0.5000 0.5000 0.0000
Er 0.3317 0.9298 0.6633
P 0.8325 0.1653 0.6650
P 0.1675 0.8347 0.3350
Er 0.0051 0.7460 0.0102
Er 0.9949 0.2540 0.9898
Er 0.6683 0.0702 0.3367

Calculated values
- Electronic total energy: -6.3454 eV per atom


Entry 10:
DFT (PBE) results for crystalline DyCrGe2 at its relaxed geometry.

a b c (Å): 4.1804 4.1804 5.5892
angles (deg): 68.04 68.04 60.00
Each line ends with the local moment (μB).
Atoms (fractional coordinates):
Ge 0.7755 0.7755 0.6735  -0.06
Ge 0.2245 0.2245 0.3265  -0.06
Cr 0.5000 0.5000 0.5000  2.55
Dy 0.0000 0.0000 0.0000  -0.12

Calculated values
- Energy of formation from the pure elements: -0.369 eV per atom


Entry 11:
DFT (PBE) results for crystalline MnTc2HIr at its relaxed geometry.

a b c (Å): 3.8613 3.8613 3.7978
angles (deg): 90.00 90.00 90.00
Atoms (fractional coordinates):
Mn 0.0000 0.0000 0.5000
Tc 0.0000 0.5000 0.0000
H 0.0000 0.0000 0.0000
Tc 0.5000 0.0000 0.0000
Ir 0.5000 0.5000 0.5000

Calculated values
- Electronic total energy: -8.4442 eV per atom


Entry 12:
DFT (PBE) results for crystalline Ac2Al4CdPd3 at its relaxed geometry.

a b c (Å): 4.4689 4.4689 10.8531
angles (deg): 90.00 90.00 90.00
Atoms (fractional coordinates):
Cd 0.5000 0.5000 0.5000
Al 0.5000 0.5000 0.0000
Pd 0.0000 0.5000 0.1241
Ac 0.5000 0.0000 0.2435
Al 0.0000 0.0000 0.0000
Al 0.5000 0.0000 0.6372
Al 0.0000 0.5000 0.3628
Pd 0.0000 0.0000 0.5000
Ac 0.0000 0.5000 0.7565
Pd 0.5000 0.0000 0.8759

Calculated values
- Energy of formation from the pure elements: -0.686 eV per atom


Entry 13:
DFT (PBE) results for crystalline InSb2Au at its relaxed geometry.

a b c (Å): 6.6625 6.6625 4.6187
angles (deg): 68.34 68.34 37.77
Atoms (fractional coordinates):
Au 0.5682 0.5682 0.6160
Sb 0.1663 0.1663 0.2068
In 0.7905 0.7905 0.6726
Sb 0.9750 0.9750 0.0046

Calculated values
- Electronic total energy: -3.5740 eV per atom


Entry 14:
DFT (PBE) results for crystalline Co5Ni6Pt2 at its relaxed geometry.

a b c (Å): 2.5675 8.4440 14.4467
angles (deg): 90.00 90.00 90.00
Each line ends with the local moment (μB).
Atoms (fractional coordinates):
Ni 0.0000 0.0579 0.0754  0.76
Co 0.5000 0.0919 0.2219  1.71
Pt 0.0000 0.6655 0.7104  0.33
Co 0.5000 0.4081 0.7219  1.71
Co 0.5000 0.2872 0.4526  1.87
Pt 0.0000 0.3345 0.2896  0.33
Ni 0.0000 0.4367 0.8654  0.74
Ni 0.5000 0.3067 0.1188  0.68
Co 0.5000 0.7128 0.5474  1.87
Co 0.5000 0.5000 0.0000  1.76
Co 0.5000 0.7872 0.0474  1.87
Ni 0.5000 0.6933 0.8812  0.68
Ni 0.0000 0.5579 0.4246  0.76
Ni 0.0000 0.9421 0.9246  0.76
Ni 0.5000 0.8067 0.3812  0.68
Co 0.5000 0.5919 0.2781  1.71
Co 0.5000 0.0000 0.5000  1.76
Ni 0.0000 0.4421 0.5754  0.76
Ni 0.0000 0.5633 0.1346  0.74
Co 0.5000 0.9081 0.7781  1.71
Pt 0.0000 0.1655 0.7896  0.33
Pt 0.0000 0.8345 0.2104  0.33
Ni 0.5000 0.1933 0.6188  0.68
Co 0.5000 0.2128 0.9526  1.87
Ni 0.0000 0.9367 0.6346  0.74
Ni 0.0000 0.0633 0.3654  0.74

Calculated values
- Energy of formation from the pure elements: 0.086 eV per atom


Entry 15:
DFT (PBE) results for crystalline AgSnSb at its relaxed geometry.

a b c (Å): 4.8480 4.8480 4.8480
angles (deg): 60.00 60.00 60.00
Atoms (fractional coordinates):
Sn 0.0000 0.0000 0.0000
Ag 0.2500 0.2500 0.2500
Sb 0.5000 0.5000 0.5000

Calculated values
- Electronic total energy: -3.6084 eV per atom


Entry 16:
DFT (PBE) results for crystalline CaGaCl6 at its relaxed geometry.

a b c (Å): 6.4728 6.4731 6.8374
angles (deg): 61.61 61.76 59.99
Each line ends with the local moment (μB).
Atoms (fractional coordinates):
Ca 0.5000 0.5000 0.5000  0.00
Cl 0.2160 0.9406 0.2352  0.14
Cl 0.9406 0.6076 0.2377  0.15
Cl 0.0594 0.3924 0.7623  0.15
Cl 0.7840 0.0594 0.7648  0.14
Ga 0.0000 0.0000 0.0000  -0.01
Cl 0.3909 0.7849 0.7634  0.15
Cl 0.6091 0.2151 0.2366  0.15

Calculated values
- Electronic total energy: -3.2584 eV per atom


Entry 17:
DFT (PBE) results for crystalline CaMnCd2 at its relaxed geometry.

a b c (Å): 3.6155 3.6058 7.1327
angles (deg): 90.00 90.00 90.00
Each line ends with the local moment (μB).
Atoms (fractional coordinates):
Cd 0.0000 0.0000 0.0274  -0.01
Cd 0.5000 0.5000 0.2750  -0.04
Mn 0.0000 0.0000 0.4586  3.75
Ca 0.5000 0.5000 0.7390  -0.04

Calculated values
- Energy of formation from the pure elements: 0.124 eV per atom


Entry 18:
DFT (PBE) results for crystalline LiHo4Au7 at its relaxed geometry.

a b c (Å): 5.0461 8.1597 7.4305
angles (deg): 70.36 70.15 71.99
Atoms (fractional coordinates):
Au 0.8183 0.9814 0.3821
Ho 0.5632 0.2564 0.6172
Au 0.0728 0.6547 0.1996
Au 0.1817 0.0186 0.6179
Au 0.9272 0.3453 0.8004
Au 0.3165 0.5517 0.8154
Au 0.6835 0.4483 0.1846
Ho 0.7412 0.7402 0.7774
Li 0.0000 0.0000 0.0000
Ho 0.2588 0.2598 0.2226
Ho 0.4368 0.7436 0.3828
Au 0.5000 0.0000 0.0000

Calculated values
- Energy of formation from the pure elements: -0.710 eV per atom


Entry 19:
DFT (PBE) results for crystalline TcGeSb3 at its relaxed geometry.

a b c (Å): 5.1499 5.1499 5.1499
angles (deg): 90.00 90.00 90.00
Atoms (fractional coordinates):
Tc 0.0000 0.0000 0.0000
Sb 0.0000 0.5000 0.0000
Sb 0.0000 0.0000 0.5000
Sb 0.5000 0.0000 0.0000
Ge 0.5000 0.5000 0.5000

Calculated values
- Electronic total energy: -4.8690 eV per atom


Entry 20:
DFT (PBE) results for crystalline EuGaSn2 at its relaxed geometry.

a b c (Å): 3.8802 3.8802 6.9814
angles (deg): 90.00 90.00 90.00
Each line ends with the local moment (μB).
Atoms (fractional coordinates):
Eu 0.5000 0.5000 0.5000  6.85
Ga 0.5000 0.5000 0.0000  -0.02
Sn 0.0000 0.0000 0.7890  -0.01
Sn 0.0000 0.0000 0.2110  -0.01

Calculated values
- Energy of formation from the pure elements: -0.339 eV per atom